(1)
! Ag6PtAu (PBE, relaxed); values from VASP
&SYSTEM
  ibrav = 0, nat = 8, ntyp = 3
/
ATOMIC_SPECIES
Ag 107.87 Ag.upf
Pt 195.08 Pt.upf
Au 196.97 Au.upf
CELL_PARAMETERS angstrom
4.118 0.000 0.000
0.000 4.118 0.000
0.000 0.000 8.246
ATOMIC_POSITIONS angstrom
Ag 0.000 0.000 0.000
Ag 0.000 0.000 4.123
Ag 0.000 2.059 2.025
Ag 0.000 2.059 6.221
Ag 2.059 0.000 2.025
Ag 2.059 0.000 6.221
Pt 2.059 2.059 0.000
Au 2.059 2.059 4.123
! ΔE_f (eV per atom): -0.008
! Size of the total moment (μB/f.u.): 0.0
! E above lowest polymorph (meV/atom): 0
! Fermi-level density of states (states/eV/cell): 1.7


(2)
! Ag2Pt3Au8 (PBE, relaxed); values from VASP
&SYSTEM
  ibrav = 0, nat = 13, ntyp = 3
/
ATOMIC_SPECIES
Ag 107.87 Ag.upf
Pt 195.08 Pt.upf
Au 196.97 Au.upf
CELL_PARAMETERS angstrom
6.687 -3.764 0.000
6.687 3.764 0.000
-0.411 0.000 4.773
ATOMIC_POSITIONS angstrom
Ag 2.032 0.000 1.275
Ag 10.931 0.000 3.497
Pt 6.687 1.344 0.000
Pt 6.482 0.000 2.386
Pt 6.687 -1.344 0.000
Au 0.366 0.000 3.618
Au 4.302 1.591 1.552
Au 3.822 0.000 3.899
Au 8.661 1.591 3.221
Au 4.302 -1.591 1.552
Au 9.142 0.000 0.874
Au 8.661 -1.591 3.221
Au 12.597 0.000 1.154
! ΔE_f (eV per atom): 0.111
! Size of the total moment (μB/f.u.): 0.0
! E above lowest polymorph (meV/atom): 0
! Fermi-level density of states (states/eV/cell): 5.4


(3)
! Ag8Pt3Au2 (PBE, relaxed); values from VASP
&SYSTEM
  ibrav = 0, nat = 13, ntyp = 3
/
ATOMIC_SPECIES
Ag 107.87 Ag.upf
Pt 195.08 Pt.upf
Au 196.97 Au.upf
CELL_PARAMETERS angstrom
5.971 -3.841 0.000
5.971 3.841 0.000
-0.762 0.000 5.365
ATOMIC_POSITIONS angstrom
Ag 4.535 2.456 0.365
Ag 0.803 0.000 2.058
Ag 6.645 2.456 5.000
Ag 3.002 0.000 3.805
Ag 8.178 0.000 1.560
Ag 4.535 -2.456 0.365
Ag 10.377 0.000 3.308
Ag 6.645 -2.456 5.000
Pt 5.590 1.303 2.683
Pt 5.971 0.000 0.000
Pt 5.590 -1.303 2.683
Au 3.447 0.000 1.175
Au 7.733 0.000 4.190
! ΔE_f (eV per atom): 0.142
! Size of the total moment (μB/f.u.): 0.0
! Fermi-level density of states (states/eV/cell): 4.8


(4)
! AgPtAu2 (PBE, relaxed); values from VASP
&SYSTEM
  ibrav = 0, nat = 4, ntyp = 3
/
ATOMIC_SPECIES
Ag 107.87 Ag.upf
Pt 195.08 Pt.upf
Au 196.97 Au.upf
CELL_PARAMETERS angstrom
-1.467 2.427 4.895
1.467 -2.427 4.895
1.467 2.427 -4.895
ATOMIC_POSITIONS angstrom
Ag 0.000 0.000 0.000
Pt 0.000 2.427 2.461
Au 1.467 0.000 2.496
Au 0.000 0.000 4.965
! ΔE_f (eV per atom): 0.025
! Size of the total moment (μB/f.u.): 0.0
! E above lowest polymorph (meV/atom): 42
! Fermi-level density of states (states/eV/cell): 1.7


(5)
! Ag2PtAu2 (PBE, relaxed); values from VASP
&SYSTEM
  ibrav = 0, nat = 10, ntyp = 3
/
ATOMIC_SPECIES
Ag 107.87 Ag.upf
Pt 195.08 Pt.upf
Au 196.97 Au.upf
CELL_PARAMETERS angstrom
7.784 0.000 0.000
0.000 7.784 0.000
0.000 0.000 3.017
ATOMIC_POSITIONS angstrom
Ag 1.006 2.886 0.000
Ag 2.886 6.777 0.000
Ag 4.898 1.006 0.000
Ag 6.777 4.898 0.000
Pt 0.000 0.000 0.000
Pt 3.892 3.892 0.000
Au 1.318 5.210 1.508
Au 2.574 1.318 1.508
Au 5.210 6.466 1.508
Au 6.466 2.574 1.508
! ΔE_f (eV per atom): 0.258
! Size of the total moment (μB/f.u.): 0.0
! E above lowest polymorph (meV/atom): 262
! Fermi-level density of states (states/eV/cell): 3.9


(6)
! AgPtAu2 (PBE, relaxed); values from VASP
&SYSTEM
  ibrav = 0, nat = 4, ntyp = 3
/
ATOMIC_SPECIES
Ag 107.87 Ag.upf
Pt 195.08 Pt.upf
Au 196.97 Au.upf
CELL_PARAMETERS angstrom
0.000 3.264 3.264
3.264 0.000 3.264
3.264 3.264 0.000
ATOMIC_POSITIONS angstrom
Ag 0.000 0.000 0.000
Pt 3.264 3.264 3.264
Au 1.632 1.632 1.632
Au 4.897 4.897 4.897
! ΔE_f (eV per atom): 0.035
! Size of the total moment (μB/f.u.): 0.0
! E above lowest polymorph (meV/atom): 51
! Fermi-level density of states (states/eV/cell): 1.5